# 1
VASP calculation (PBE-GGA) on a geometry-optimized CaLa2MgN structure.

Summary:
Raw formation energy = -557 meV per atom
Mass density = 4.39 g/cm³
Magnetization = 0.00 μB per formula unit
N(E_F) = 5.21 states/eV per cell
Crystal system = tetragonal
Excess energy over the best structure of this formula in the dataset = 0.000 eV per atom
Final energy = -4.913 eV per atom

Lattice parameters (Å, degrees): 5.1598 5.1598 5.0646 90.00 90.00 90.00
Last column: nearest neighbours and their distance in Å.
Space group P4/mmm (No. 123)
Symmetry-distinct sites (fractional):
Ca 0.0000 0.0000 0.0000 x1  2 N 2.53
La 0.0000 0.5000 0.5000 x2  2 N 2.58
Mg 0.5000 0.5000 0.0000 x1  8 La 3.62, 4 Ca 3.65
N 0.0000 0.0000 0.5000 x1  2 Ca 2.53, 4 La 2.58



# 2
VASP calculation (PBE-GGA) on a geometry-optimized AcGdDyAl structure.

Summary:
Mass density = 7.81 g/cm³
Magnetization = 8.27 μB per formula unit
N(E_F) = 18.20 states/eV per cell
Crystal system = cubic
DFT formation energy = -0.04 eV per formula unit
Final energy = -6.643 eV per atom

Lattice parameters (Å, degrees): 7.8735 7.8735 7.8735 90.00 90.00 90.00
Last column: nearest neighbours and their distance in Å.
Space group F-43m (No. 216)
Symmetry-distinct sites (fractional):
Ac 0.0000 0.0000 0.0000 x4  4 Al 3.41, 4 Dy 3.41
Gd 0.0000 0.0000 0.5000 x4  4 Dy 3.41, 4 Al 3.41
Dy 0.2500 0.2500 0.7500 x4  4 Ac 3.41, 4 Gd 3.41
Al 0.2500 0.2500 0.2500 x4  4 Gd 3.41, 4 Ac 3.41



# 3
VASP calculation (PBE-GGA) on a geometry-optimized PtPb4Au structure.

Summary:
Mass density = 12.21 g/cm³
Magnetization = 0.00 μB per formula unit
N(E_F) = 8.38 states/eV per cell
Crystal system = monoclinic
Excess energy over the best structure of this formula in the dataset = 0.026 eV per atom
DFT formation energy = -0.66 eV per formula unit
Final energy = -4.135 eV per atom

Lattice parameters (Å, degrees): 10.0539 9.6037 8.0952 90.00 121.81 90.00
Last column: nearest neighbours and their distance in Å.
Space group C2/c (No. 15)
Symmetry-distinct sites (fractional):
Pt 0.0000 0.1269 0.2500 x4  8 Pb 2.91-3.08
Pb 0.1306 0.1201 0.0032 x8  2 Pt 2.91-2.95, 2 Au 3.02-3.16
Pb 0.1398 0.3712 0.5039 x8  2 Pt 2.94-3.08, 2 Au 2.98-3.01, 1 Pb 3.24
Au 0.0000 0.3756 0.7500 x4  8 Pb 2.98-3.16



# 4
VASP calculation (PBE-GGA) on a geometry-optimized ZrNiAs2Br structure.

Summary:
Raw formation energy = 193 meV per atom
Mass density = 6.18 g/cm³
Magnetization = 0.00 μB per formula unit
N(E_F) = 3.54 states/eV per cell
Crystal system = tetragonal
Excess energy over the best structure of this formula in the dataset = 0.000 eV per atom
Final energy = -4.868 eV per atom

Lattice parameters (Å, degrees): 4.6305 4.6305 4.7569 90.00 90.00 90.00
Last column: nearest neighbours and their distance in Å.
Space group P4/mmm (No. 123)
Symmetry-distinct sites (fractional):
Zr 0.0000 0.0000 0.0000 x1  4 Br 3.27, 8 As 3.32
Ni 0.5000 0.5000 0.5000 x1  4 As 2.32, 2 Br 2.38
As 0.0000 0.5000 0.5000 x2  2 Ni 2.32
Br 0.5000 0.5000 0.0000 x1  2 Ni 2.38



# 5
VASP calculation (PBE-GGA) on a geometry-optimized Nd2Y2Sc structure.

Summary:
Mass density = 5.30 g/cm³
Magnetization = 0.00 μB per formula unit
N(E_F) = 14.12 states/eV per cell
Crystal system = orthorhombic
Excess energy over the best structure of this formula in the dataset = 0.000 eV per atom
DFT formation energy = 1.07 eV per formula unit
Final energy = -5.546 eV per atom

Lattice parameters (Å, degrees): 4.7929 7.6724 8.7045 90.00 90.00 90.00
Last column: nearest neighbours and their distance in Å.
Space group Immm (No. 71)
Symmetry-distinct sites (fractional):
Nd 0.0000 0.2077 0.0000 x4  1 Nd 3.19, 2 Sc 3.28, 6 Y 3.38-3.41
Y 0.0000 0.5000 0.2898 x4  6 Nd 3.38-3.41, 2 Sc 3.48, 1 Y 3.66
Sc 0.0000 0.0000 0.5000 x2  4 Nd 3.28, 4 Y 3.48



# 6
VASP calculation (PBE-GGA) on a geometry-optimized Pr3Dy2Tm4 structure.

Summary:
Mass density = 8.13 g/cm³
Magnetization = 0.00 μB per formula unit
N(E_F) = 53.28 states/eV per cell
Crystal system = monoclinic
Excess energy over the best structure of this formula in the dataset = 0.016 eV per atom
DFT formation energy = 0.94 eV per formula unit
Final energy = -4.499 eV per atom

Lattice parameters (Å, degrees): 16.6411 11.6894 6.0341 90.00 97.93 90.00
Last column: nearest neighbours and their distance in Å.
Space group C2/c (No. 15)
Symmetry-distinct sites (fractional):
Pr 0.0000 0.1096 0.2500 x4  6 Dy 3.41-3.67, 4 Tm 3.51-3.62
Pr 0.1659 0.3918 0.0858 x8  8 Tm 3.38-3.67, 2 Dy 3.52-3.58
Dy 0.1177 0.1300 0.8100 x8  4 Tm 3.40-3.49, 5 Pr 3.41-3.67
Tm 0.0504 0.3698 0.5232 x8  5 Pr 3.38-3.67, 3 Tm 3.40-3.49, 1 Dy 3.40
Tm 0.2188 0.1322 0.3536 x8  1 Tm 3.36, 5 Pr 3.39-3.66, 3 Dy 3.42-3.49



# 7
VASP calculation (PBE-GGA) on a geometry-optimized RbZnHg2Ge structure.

Summary:
Mass density = 6.84 g/cm³
Magnetization = 0.00 μB per formula unit
N(E_F) = 2.25 states/eV per cell
Crystal system = tetragonal
Excess energy over the best structure of this formula in the dataset = 0.027 eV per atom
DFT formation energy = 0.33 eV per formula unit
Final energy = -1.427 eV per atom

Lattice parameters (Å, degrees): 5.5726 5.5726 4.8809 90.00 90.00 90.00
Last column: nearest neighbours and their distance in Å.
Space group P4/mmm (No. 123)
Symmetry-distinct sites (fractional):
Rb 0.0000 0.0000 0.0000 x1  8 Hg 3.70, 4 Ge 3.94
Zn 0.5000 0.5000 0.5000 x1  2 Ge 2.44
Hg 0.0000 0.5000 0.5000 x2  2 Zn 2.79
Ge 0.5000 0.5000 0.0000 x1  2 Zn 2.44



# 8
VASP calculation (PBE-GGA) on a geometry-optimized BaLi2As structure.

Summary:
Mass density = 3.59 g/cm³
Magnetization = 0.00 μB per formula unit
N(E_F) = 3.78 states/eV per cell
Crystal system = tetragonal
DFT formation energy = -1.61 eV per formula unit
Final energy = -3.003 eV per atom

Lattice parameters (Å, degrees): 5.2846 5.2846 7.4975 90.00 90.00 90.00
Last column: nearest neighbours and their distance in Å.
Space group I-4m2 (No. 119)
Symmetry-distinct sites (fractional):
Ba 0.0000 0.0000 0.0000 x2  4 As 3.24, 4 Li 3.24
Li 0.0000 0.0000 0.5000 x2  4 As 3.24, 4 Li 3.24
Li 0.0000 0.5000 0.7500 x2  4 Ba 3.24, 4 Li 3.24
As 0.0000 0.5000 0.2500 x2  4 Ba 3.24, 4 Li 3.24